Model a:
A relaxed structure of HfZr2Pb2. Source: the Alexandria database, functional PBE.

Results
- space group = P4/mbm, No. 127

a = 7.786 Å, b = 7.786 Å, c = 3.936 Å
α = 90.00°, β = 90.00°, γ = 90.00°
Element x y z (fractional)
1 Pb 0.359 0.859 0.000
2 Pb 0.641 0.141 0.000
3 Pb 0.859 0.641 0.000
4 Pb 0.141 0.359 0.000
5 Zr 0.162 0.662 0.500
6 Zr 0.662 0.838 0.500
7 Zr 0.838 0.338 0.500
8 Zr 0.338 0.162 0.500
9 Hf 0.000 0.000 0.000
10 Hf 0.500 0.500 0.000

Model b:
A relaxed structure of HfZr2Pb2. Source: the Alexandria database, functional PBE.

Results
- space group = P4/mbm, No. 127

a = 8.627 Å, b = 8.627 Å, c = 3.300 Å
α = 90.00°, β = 90.00°, γ = 90.00°
Element x y z (fractional)
1 Pb 0.826 0.326 0.500
2 Pb 0.674 0.826 0.500
3 Pb 0.326 0.174 0.500
4 Pb 0.174 0.674 0.500
5 Hf 0.500 0.500 0.000
6 Hf 0.000 0.000 0.000
7 Zr 0.625 0.125 0.000
8 Zr 0.375 0.875 0.000
9 Zr 0.875 0.625 0.000
10 Zr 0.125 0.375 0.000

In terms of stability, model a leads; the second structure lies 0.285 eV/atom higher.

Model a:
A relaxed structure of Hf4ZrPb2. Source: the Alexandria database, functional PBE.

Results
- space group = I4/mmm, No. 139

a = 4.138 Å, b = 4.138 Å, c = 10.542 Å
α = 101.32°, β = 101.32°, γ = 90.00°
Element x y z (fractional)
1 Hf 0.139 0.139 0.278
2 Hf 0.750 0.250 0.500
3 Hf 0.861 0.861 0.722
4 Hf 0.250 0.750 0.500
5 Pb 0.410 0.410 0.820
6 Pb 0.590 0.590 0.180
7 Zr 0.000 0.000 0.000

Model b:
A relaxed structure of Hf4ZrPb2. Source: the Alexandria database, functional PBE.

Results
- space group = P2_1/m, No. 11

a = 7.635 Å, b = 6.035 Å, c = 8.309 Å
α = 90.00°, β = 120.36°, γ = 90.00°
Element x y z (fractional)
1 Pb 0.698 0.750 0.640
2 Pb 0.173 0.250 0.922
3 Pb 0.827 0.750 0.078
4 Pb 0.302 0.250 0.360
5 Hf 0.579 0.499 0.223
6 Hf 0.579 0.001 0.223
7 Hf 0.421 0.501 0.777
8 Hf 0.982 0.750 0.504
9 Hf 0.844 0.250 0.065
10 Hf 0.421 0.999 0.777
11 Hf 0.156 0.750 0.935
12 Hf 0.018 0.250 0.496
13 Zr 0.268 0.750 0.358
14 Zr 0.732 0.250 0.642

In terms of stability, model b leads; the second structure lies 0.292 eV/atom higher.